Entry from Alexandria: a relaxed structure of Na3SbOs (GGA-PBE).

```
data_Na3SbOs
_chemical_formula_sum 'Na3 Sb1 Os1'
_symmetry_space_group_name_H-M 'P 1'
_symmetry_Int_Tables_number 1
_cell_length_a 5.610
_cell_length_b 5.610
_cell_length_c 5.610
_cell_angle_alpha 90.00
_cell_angle_beta 90.00
_cell_angle_gamma 90.00
loop_
_symmetry_equiv_pos_as_xyz
'x,y,z'
loop_
_atom_site_label
_atom_site_type_symbol
_atom_site_fract_x
_atom_site_fract_y
_atom_site_fract_z
_atom_site_occupancy
Os1 Os 0.000 0.000 0.000 1
Sb1 Sb 0.500 0.500 0.500 1
Na1 Na 0.000 0.500 0.000 1
Na2 Na 0.500 0.000 0.000 1
Na3 Na 0.000 0.000 0.500 1
```

## Properties
Raw total energy = -2.60 eV per atom
ΔE to the lowest computed polymorph = 0.15 eV per formula unit
Raw formation energy = 1.2610 eV per atom
Fermi-level density of states = 1.01 states/eV/atom